Here is an optimized crystal structure of Sc2BeZn from Alexandria. Energies are from PBE.

Cell lengths 3.9843, 3.9843, 8.8708 Å; angles 90.00, 90.00, 90.00 degrees
With the nearest neighbours (Å) after each atom.
Element x y z (fractional)
Sc1 0.0000 0.0000 0.0000  4 Be 2.82, 4 Sc 2.98, 4 Zn 2.98
Sc2 0.0000 0.5000 0.2500  4 Zn 2.82, 4 Be 2.98, 4 Sc 2.98
Sc3 0.5000 0.0000 0.7500  4 Zn 2.82, 4 Be 2.98, 4 Sc 2.98
Sc4 0.5000 0.5000 0.5000  4 Be 2.82, 4 Sc 2.98, 4 Zn 2.98
Be1 0.0000 0.0000 0.5000  8 Sc 2.82-2.98, 4 Zn 2.98
Be2 0.5000 0.5000 0.0000  8 Sc 2.82-2.98, 4 Zn 2.98
Zn1 0.0000 0.5000 0.7500  8 Sc 2.82-2.98, 4 Be 2.98
Zn2 0.5000 0.0000 0.2500  8 Sc 2.82-2.98, 4 Be 2.98

Calculated values
Energy above the lowest structure with this stoichiometry (eV per atom): 0.2727
Volume (Å³ per cell): 141
Symmetry: I-4m2 (119)
Raw total energy (eV per cell): -34.8

Here is an optimized crystal structure of Tb2PrHoHg4 from Alexandria. Energies are from PBE.

Cell lengths 9.2691, 9.2691, 9.2691 Å; angles 33.27, 33.27, 33.27 degrees
With the nearest neighbours (Å) after each atom.
Element x y z (fractional)
Tb1 0.2493 0.2493 0.2493  8 Hg 3.20-3.39
Tb2 0.7507 0.7507 0.7507  8 Hg 3.20-3.39
Pr1 0.0000 0.0000 0.0000  8 Hg 3.29-3.35
Ho1 0.5000 0.5000 0.5000  8 Hg 3.19-3.23
Hg1 0.1276 0.1276 0.1276  4 Tb 3.20-3.27, 3 Ho 3.23, 1 Pr 3.35
Hg2 0.3786 0.3786 0.3786  1 Ho 3.19, 4 Tb 3.23-3.39, 3 Pr 3.29
Hg3 0.6214 0.6214 0.6214  1 Ho 3.19, 4 Tb 3.23-3.39, 3 Pr 3.29
Hg4 0.8724 0.8724 0.8724  4 Tb 3.20-3.27, 3 Ho 3.23, 1 Pr 3.35

Calculated values
Volume (Å³ per cell): 213
Symmetry: R-3m (166)
Raw total energy (eV per cell): -23.6

Here is an optimized crystal structure of Tb4PdPt5 from Alexandria. Energies are from PBE.

Cell lengths 8.7035, 8.7035, 5.6513 Å; angles 98.54, 98.54, 29.47 degrees
With the nearest neighbours (Å) after each atom.
Element x y z (fractional)
Tb1 0.1095 0.1095 0.2950  8 Pt 2.85-3.18
Tb2 0.3286 0.3286 0.1742  7 Pt 2.87-3.19, 1 Pd 3.18
Tb3 0.6714 0.6714 0.8258  7 Pt 2.87-3.19, 1 Pd 3.18
Tb4 0.8905 0.8905 0.7050  8 Pt 2.85-3.18
Pd1 0.5000 0.5000 0.5000  6 Pt 2.81-2.83
Pt1 0.0615 0.0615 0.7741  2 Pd 2.81, 2 Pt 2.83, 5 Tb 2.85-2.94
Pt2 0.2687 0.2687 0.6617  2 Pt 2.88, 7 Tb 2.92-3.13
Pt3 0.5000 0.5000 0.0000  2 Pd 2.83, 4 Pt 2.83
Pt4 0.7313 0.7313 0.3383  2 Pt 2.88, 7 Tb 2.92-3.13
Pt5 0.9385 0.9385 0.2259  2 Pd 2.81, 2 Pt 2.83, 5 Tb 2.85-2.94

Calculated values
Volume (Å³ per cell): 208
Symmetry: C2/m (12)
Raw total energy (eV per cell): -65.6

Here is an optimized crystal structure of Na2TbZnSb2 from Alexandria. Energies are from PBE.

Cell lengths 4.7049, 9.0743, 7.3409 Å; angles 90.00, 90.00, 90.00 degrees
With the nearest neighbours (Å) after each atom.
Element x y z (fractional)
Na1 0.0000 0.0705 0.0000  3 Sb 3.23-3.25, 4 Na 3.35-3.37, 1 Zn 3.52
Na2 0.0000 0.9295 0.5000  3 Sb 3.23-3.25, 4 Na 3.35-3.37, 1 Zn 3.52
Na3 0.5000 0.1466 0.3100  4 Sb 3.10-3.16, 4 Na 3.35-3.37
Na4 0.5000 0.8534 0.8100  4 Sb 3.10-3.16, 4 Na 3.35-3.37
Tb1 0.5000 0.4805 0.9918  2 Zn 3.12, 6 Sb 3.20-3.45
Tb2 0.5000 0.5195 0.4918  2 Zn 3.12, 6 Sb 3.20-3.45
Zn1 0.0000 0.3297 0.6436  4 Sb 2.74-2.92
Zn2 0.0000 0.6703 0.1436  4 Sb 2.74-2.92
Sb1 0.0000 0.3637 0.2485  2 Zn 2.89-2.92, 3 Na 3.10-3.23, 2 Tb 3.20
Sb2 0.0000 0.6363 0.7485  2 Zn 2.89-2.92, 3 Na 3.10-3.23, 2 Tb 3.20
Sb3 0.5000 0.1945 0.7362  2 Zn 2.74
Sb4 0.5000 0.8055 0.2362  2 Zn 2.74

Calculated values
E_form (uncorrected) (meV/atom): -523
Volume (Å³ per cell): 313
Symmetry: Pmc2_1 (26)
Raw total energy (eV per cell): -39.9